A plane-wave DFT calculation with PBE was carried out for ErTlPb after structural relaxation.

Geometry as POSCAR:
```
ErTlPb
1.0
-2.654 -1.737 -1.717
3.539 -2.465 -2.975
-1.544 -2.122 4.535
Tl Er Pb
1 1 1
direct
0.999 0.000 0.000 Tl
0.687 0.667 0.333 Er
0.314 0.333 0.667 Pb
```

Computed properties:
* crystal system: trigonal
* energy above the most stable polymorph in this dataset: 108 meV/atom
* DFT total energy: -11.13 eV/cell
* total magnetization: 0.0 μB/f.u.
* space group: P3m1, No. 156
* N(E_F): 1.67 states/eV/cell
* formation enthalpy at 0 K: -0.5 eV/f.u.